Density functional theory data (PBEsol) for HgTeW after structural relaxation.

ΔE_f (raw) = 1.36 eV/f.u.
Calculated density = 13.3 Mg/m³
Space-group type = P3m1
Size of the total moment = 0.000 μB/f.u.

Cell lengths 3.253, 3.253, 6.978 Å; angles 90.00, 90.00, 120.00 degrees
Sites, in units of the cell vectors:
Hg: 0.000 0.000 0.032
W: 0.333 0.667 0.350
Te: 0.667 0.333 0.619


Density functional theory data (PBEsol) for HgTe2W after structural relaxation.

ΔE_f (raw) = 3.39 eV/f.u.
Calculated density = 12.3 Mg/m³
Space-group type = Cmmm
Size of the total moment = 0.978 μB/f.u.

Cell lengths 3.495, 5.055, 5.055 Å; angles 105.19, 90.00, 90.00 degrees
Sites, in units of the cell vectors:
Te: 0.000 0.500 0.000
Te: 0.000 0.000 0.500
Hg: 0.500 0.500 0.500
W: 0.500 0.000 0.000


Density functional theory data (PBEsol) for Y2HgTe after structural relaxation.

ΔE_f (raw) = -3.66 eV/f.u.
Calculated density = 7.6 Mg/m³
Space-group type = P4/mmm
Size of the total moment = 0.000 μB/f.u.
Polymorph energy (0 for the lowest one) = 0.16 eV per formula unit

Cell lengths 4.267, 4.267, 6.088 Å; angles 90.00, 90.00, 90.00 degrees
Sites, in units of the cell vectors:
Y: 0.500 0.500 0.000
Y: 0.000 0.000 0.500
Te: 0.500 0.500 0.500
Hg: 0.000 0.000 0.000


Density functional theory data (PBEsol) for YHgTe2 after structural relaxation.

ΔE_f (raw) = -3.47 eV/f.u.
Calculated density = 7.0 Mg/m³
Space-group type = P-1
Size of the total moment = 0.000 μB/f.u.
Polymorph energy (0 for the lowest one) = 0.19 eV per formula unit

Cell lengths 4.265, 6.071, 10.489 Å; angles 107.53, 91.81, 92.56 degrees
Sites, in units of the cell vectors:
Te: 0.298 0.968 0.821
Te: 0.702 0.032 0.179
Te: 0.243 0.691 0.386
Te: 0.757 0.309 0.614
Y: 0.230 0.197 0.392
Y: 0.770 0.803 0.608
Hg: 0.903 0.347 0.058
Hg: 0.097 0.653 0.942


Density functional theory data (PBEsol) for Y2HgTe after structural relaxation.

ΔE_f (raw) = -3.25 eV/f.u.
Calculated density = 8.3 Mg/m³
Space-group type = P4/mmm
Size of the total moment = 0.002 μB/f.u.
Polymorph energy (0 for the lowest one) = 0.56 eV per formula unit

Cell lengths 3.670, 5.243, 5.243 Å; angles 90.00, 90.00, 90.00 degrees
Sites, in units of the cell vectors:
Te: 0.500 0.000 0.000
Y: 0.000 0.000 0.500
Y: 0.000 0.500 0.000
Hg: 0.500 0.500 0.500


Density functional theory data (PBEsol) for YHg2Te after structural relaxation.

ΔE_f (raw) = -1.94 eV/f.u.
Calculated density = 8.9 Mg/m³
Space-group type = R3m
Size of the total moment = 0.000 μB/f.u.

Cell lengths 4.087, 4.087, 8.309 Å; angles 75.76, 75.76, 60.00 degrees
Sites, in units of the cell vectors:
Hg: 0.742 0.742 0.773
Hg: 0.001 0.001 0.997
Te: 0.507 0.507 0.478
Y: 0.249 0.249 0.253


Q: Number 5 is which compound?
A: Y2HgTe


Q: Among the records above, which one has the highest ΔE_f (raw)?
A: HgTe2W


What did the third record say?
Density functional theory data (PBEsol) for Y2HgTe after structural relaxation.

ΔE_f (raw) = -3.66 eV/f.u.
Calculated density = 7.6 Mg/m³
Space-group type = P4/mmm
Size of the total moment = 0.000 μB/f.u.
Polymorph energy (0 for the lowest one) = 0.16 eV per formula unit

Cell lengths 4.267, 4.267, 6.088 Å; angles 90.00, 90.00, 90.00 degrees
Sites, in units of the cell vectors:
Y: 0.500 0.500 0.000
Y: 0.000 0.000 0.500
Te: 0.500 0.500 0.500
Hg: 0.000 0.000 0.000